Material: CoTc
Method: DFT, PBE
State: relaxed

Results
SG: No. 8
Excess energy over the best structure of this formula in the dataset: 0.166 eV per formula unit
Formation energy from the elements: 0.036 eV per atom
Calculated density: 10.4 g cm⁻³

Unit cell a=4.913 b=4.913 c=6.238 alpha=103.75 beta=103.75 gamma=30.89
Positions (direct):
1 Co 0.000 0.000 0.000
2 Co 0.063 0.063 0.615
3 Co 0.671 0.671 0.339
4 Tc 0.340 0.340 0.666
5 Tc 0.399 0.399 0.286
6 Tc 0.714 0.714 0.950